YScCu2 GGA-PBEsol optimized geometry; energy above the lowest structure with this stoichiometry = 258 meV/atom; space-group type = I-4m2, No. 119; formation energy = 0.02 eV/atom; final energy = -5.5043 eV per atom
1.0
-1.9906 1.9906 4.5734
1.9906 -1.9906 4.5734
1.9906 1.9906 -4.5734
Y Sc Cu
1 1 2
direct
0.0000 0.0000 0.0000
0.2500 0.7500 0.5000
0.5000 0.5000 0.0000
0.7500 0.2500 0.5000



YScCu2 GGA-PBEsol optimized geometry; energy above the lowest structure with this stoichiometry = 24 meV/atom; space-group type = Pm, No. 6; formation energy = -0.21 eV/atom; final energy = -5.7379 eV per atom
1.0
3.4974 0.0000 0.0000
0.0000 4.3353 0.0000
-1.7315 0.0000 4.9859
Y Sc Cu
1 1 2
direct
0.0000 0.0000 0.0000
0.2812 0.5000 0.5657
0.5760 0.5000 0.1526
0.7169 0.0000 0.4385



YScCu GGA-PBEsol optimized geometry; space-group type = I4mm, No. 107; formation energy = -0.11 eV/atom; final energy = -6.0339 eV per atom
1.0
-1.6536 1.6536 5.8742
1.6536 -1.6536 5.8742
1.6536 1.6536 -5.8742
Y Sc Cu
1 1 1
direct
0.0000 0.0000 0.0000
0.2792 0.2792 0.0000
0.6596 0.6596 0.0000



YScCu2 GGA-PBEsol optimized geometry; energy above the lowest structure with this stoichiometry = 0 meV/atom; space-group type = P4/mmm, No. 123; formation energy = -0.24 eV/atom; final energy = -5.7624 eV per atom
1.0
3.3124 0.0000 0.0000
0.0000 3.3124 0.0000
0.0000 0.0000 6.6382
Y Sc Cu
1 1 2
direct
0.0000 0.0000 0.0000
0.0000 0.0000 0.5000
0.5000 0.5000 0.2809
0.5000 0.5000 0.7191



Sc2ZnCu2 GGA-PBEsol optimized geometry; space-group type = I4/mmm, No. 139; formation energy = -0.02 eV/atom; final energy = -4.7104 eV per atom
1.0
-2.5036 2.5036 3.5255
2.5036 -2.5036 3.5255
2.5036 2.5036 -3.5255
Sc Zn Cu
2 1 2
direct
0.2500 0.7500 0.5000
0.7500 0.2500 0.5000
0.0000 0.0000 0.0000
0.3467 0.3467 0.0000
0.6533 0.6533 0.0000



ScZnCu2 GGA-PBEsol optimized geometry; space-group type = I-4m2, No. 119; formation energy = -0.20 eV/atom; final energy = -4.4132 eV per atom
1.0
-2.0268 2.0268 3.4511
2.0268 -2.0268 3.4511
2.0268 2.0268 -3.4511
Sc Zn Cu
1 1 2
direct
0.0000 0.0000 0.0000
0.7500 0.2500 0.5000
0.2500 0.7500 0.5000
0.5000 0.5000 0.0000



Sc2ZnCu GGA-PBEsol optimized geometry; space-group type = Pmm2, No. 25; formation energy = -0.32 eV/atom; final energy = -5.0977 eV per atom
1.0
3.2445 0.0000 0.0000
0.0000 4.5825 0.0000
0.0000 0.0000 4.6429
Sc Zn Cu
2 1 1
direct
0.0000 0.0000 0.0000
0.0000 0.5000 0.4768
0.5000 0.5000 0.9598
0.5000 0.0000 0.5242



Sc2ZnCu GGA-PBEsol optimized geometry; space-group type = P4mm, No. 99; formation energy = -0.17 eV/atom; final energy = -4.9489 eV per atom
1.0
3.2782 0.0000 0.0000
0.0000 3.2782 0.0000
0.0000 0.0000 6.5339
Sc Zn Cu
2 1 1
direct
0.0000 0.0000 0.0000
0.5000 0.5000 0.3259
0.0000 0.0000 0.5726
0.5000 0.5000 0.7641



Zr2ScCu2 GGA-PBEsol optimized geometry; energy above the lowest structure with this stoichiometry = 0 meV/atom; space-group type = P4/mbm, No. 127; formation energy = -0.11 eV/atom; final energy = -6.7973 eV per atom
1.0
7.4779 0.0000 0.0000
0.0000 7.4779 0.0000
0.0000 0.0000 3.2226
Zr Sc Cu
4 2 4
direct
0.1720 0.3280 0.0000
0.3280 0.8280 0.0000
0.6720 0.1720 0.0000
0.8280 0.6720 0.0000
0.0000 0.0000 0.5000
0.5000 0.5000 0.5000
0.1214 0.6214 0.5000
0.3786 0.1214 0.5000
0.6214 0.8786 0.5000
0.8786 0.3786 0.5000



ZrScCu4 GGA-PBEsol optimized geometry; space-group type = F-43m, No. 216; formation energy = -0.14 eV/atom; final energy = -5.6450 eV per atom
1.0
0.0000 3.5142 3.5142
3.5142 0.0000 3.5142
3.5142 3.5142 0.0000
Zr Sc Cu
1 1 4
direct
0.0000 0.0000 0.0000
0.7500 0.7500 0.7500
0.3749 0.3749 0.3749
0.3749 0.3749 0.8752
0.3749 0.8752 0.3749
0.8752 0.3749 0.3749



ZrSc2Cu GGA-PBEsol optimized geometry; energy above the lowest structure with this stoichiometry = 0 meV/atom; space-group type = P4/mmm, No. 123; formation energy = -0.12 eV/atom; final energy = -6.7818 eV per atom
1.0
3.1646 0.0000 0.0000
0.0000 3.1646 0.0000
0.0000 0.0000 7.8079
Zr Sc Cu
1 2 1
direct
0.0000 0.0000 0.0000
0.5000 0.5000 0.2875
0.5000 0.5000 0.7125
0.0000 0.0000 0.5000



ZrSc2Cu GGA-PBEsol optimized geometry; energy above the lowest structure with this stoichiometry = 54 meV/atom; space-group type = Imm2, No. 44; formation energy = -0.07 eV/atom; final energy = -6.7280 eV per atom
1.0
-1.6319 2.3751 5.0833
1.6319 -2.3751 5.0833
1.6319 2.3751 -5.0833
Zr Sc Cu
1 2 1
direct
0.0000 0.0000 0.0000
0.4289 0.4289 0.0000
0.7189 0.2189 0.5000
0.2192 0.7192 0.5000



What did the twelfth record say?
ZrSc2Cu GGA-PBEsol optimized geometry; energy above the lowest structure with this stoichiometry = 54 meV/atom; space-group type = Imm2, No. 44; formation energy = -0.07 eV/atom; final energy = -6.7280 eV per atom
1.0
-1.6319 2.3751 5.0833
1.6319 -2.3751 5.0833
1.6319 2.3751 -5.0833
Zr Sc Cu
1 2 1
direct
0.0000 0.0000 0.0000
0.4289 0.4289 0.0000
0.7189 0.2189 0.5000
0.2192 0.7192 0.5000



Which formula does entry 7 have? Sc2ZnCu



Among the records above, which one has the highest formation energy? number 1



What is the formula in the seventh record? Sc2ZnCu